Below is a geometry-optimized LaTe3Pb structure, with properties calculated at the PBE-GGA level.

The calculated volume is 38.43 Å³ per atom. The density of states at the Fermi level comes out at 0.651 states/eV/atom. The formation energy from raw total energies is -228.3 meV per atom. As for the crystal system: cubic. The calculation puts the theoretical density at 6.3 g/cm³.

It has space group Pm-3m (No. 221), with a = 5.771 Å, b = 5.771 Å, c = 5.771 Å, α = 90.00°, β = 90.00° and γ = 90.00°. The inequivalent atoms are La at (0.000, 0.000, 0.000), Te at (0.000, 0.500, 0.500) and Pb at (0.500, 0.500, 0.500).

***

Below is a geometry-optimized LaTePb2 structure, with properties calculated at the PBE-GGA level.

The calculated volume is 33.27 Å³ per atom. The density of states at the Fermi level comes out at 0.414 states/eV/atom. The formation energy from raw total energies is -646.1 meV per atom. As for the crystal system: monoclinic. The calculation puts the theoretical density at 8.5 g/cm³.

It has space group Pm (No. 6), with a = 4.257 Å, b = 4.606 Å, c = 6.957 Å, α = 90.00°, β = 102.62° and γ = 90.00°. The inequivalent atoms are La at (0.000, 0.000, 0.000), Te at (0.452, 0.500, 0.858), Pb at (0.422, 0.500, 0.319) and Pb at (0.907, 0.000, 0.488).

***

Below is a geometry-optimized LaTe6Pb5 structure, with properties calculated at the PBE-GGA level.

The calculated volume is 35.67 Å³ per atom. The density of states at the Fermi level comes out at 0.368 states/eV/atom. The formation energy from raw total energies is -585.4 meV per atom. As for the crystal system: monoclinic. The calculation puts the theoretical density at 7.5 g/cm³.

It has space group C2/m (No. 12), with a = 7.888 Å, b = 13.936 Å, c = 8.250 Å, α = 90.00°, β = 109.27° and γ = 90.00°. The inequivalent atoms are La at (0.000, 0.000, 0.000), Te at (0.248, 0.000, 0.752), Te at (0.248, 0.165, 0.248), Pb at (0.000, 0.163, 0.500), Pb at (0.000, 0.329, 0.000) and Pb at (0.000, 0.500, 0.500).

***

Below is a geometry-optimized La2TePb structure, with properties calculated at the PBE-GGA level.

The calculated volume is 31.89 Å³ per atom. The density of states at the Fermi level comes out at 0.611 states/eV/atom. The formation energy from raw total energies is -906.0 meV per atom. As for the crystal system: cubic. The calculation puts the theoretical density at 8.0 g/cm³.

It has space group Fm-3m (No. 225), with a = 7.991 Å, b = 7.991 Å, c = 7.991 Å, α = 90.00°, β = 90.00° and γ = 90.00°. The inequivalent atoms are La at (0.250, 0.250, 0.250), Te at (0.000, 0.000, 0.000) and Pb at (0.000, 0.000, 0.500).